# 1
KSi4Mo: relaxed, GGA-PBE.

## Properties
ΔE_f (raw) = 698 meV/atom
Magnetic moment = 0.00 Bohr magnetons per cell
Space-group type = F-43m
Uncorrected energy = -29.43 eV/cell
Calculated density = 4.2 g/cm3

a b c (Å): 5.1822 5.1822 5.1822
angles (deg): 60.00 60.00 60.00
Last column: nearest neighbours and their distance in Å.
Fractional coordinates of all 6 atoms:
K 0.0000 0.0000 0.0000  12 Si 3.05, 4 Mo 3.17
Si 0.3780 0.3780 0.3780  6 Si 2.53-2.65
Si 0.3780 0.3780 0.8661  6 Si 2.53-2.65
Si 0.3780 0.8661 0.3780  6 Si 2.53-2.65
Si 0.8661 0.3780 0.3780  6 Si 2.53-2.65
Mo 0.7500 0.7500 0.7500  12 Si 3.03, 4 K 3.17


# 2
K2SiMo: relaxed, GGA-PBE.

## Properties
ΔE_f (raw) = 871 meV/atom
Magnetic moment = 6.22 Bohr magnetons per cell
Space-group type = I-42d
Uncorrected energy = -29.93 eV/cell
Calculated density = 1.7 g/cm3

a b c (Å): 9.3351 9.3351 9.3351
angles (deg): 93.84 93.84 150.00
Last column: nearest neighbours and their distance in Å.
Fractional coordinates of all 8 atoms:
K 0.3750 0.1899 0.3149  2 Si 3.35
K 0.8101 0.1250 0.1851  2 Si 3.35
K 0.8750 0.0601 0.6851  2 Si 3.35
K 0.9399 0.6250 0.8149  2 Si 3.35
Si 0.0000 0.0000 0.0000  2 Mo 2.42
Si 0.7500 0.2500 0.5000  2 Mo 2.42
Mo 0.2500 0.7500 0.5000  2 Si 2.42
Mo 0.5000 0.5000 0.0000  2 Si 2.42


# 3
K2SiMo: relaxed, GGA-PBE.

## Properties
ΔE_f (raw) = 750 meV/atom
Magnetic moment = 3.48 Bohr magnetons per cell
Space-group type = Imm2
Uncorrected energy = -15.45 eV/cell
Calculated density = 2.4 g/cm3

a b c (Å): 6.6257 6.6257 6.6257
angles (deg): 143.38 126.64 66.46
Last column: nearest neighbours and their distance in Å.
Fractional coordinates of all 4 atoms:
K 0.0000 0.0000 0.0000  4 K 3.65-4.02, 4 Mo 3.67-3.98, 4 Si 3.75
K 0.6900 0.1900 0.5000  4 K 3.65-4.02, 4 Si 3.69-3.89, 4 Mo 3.85
Si 0.4155 0.4155 0.0000  2 Mo 2.41
Mo 0.3062 0.8062 0.5000  2 Si 2.41


# 4
K2SiMo: relaxed, GGA-PBE.

## Properties
ΔE_f (raw) = 374 meV/atom
Magnetic moment = 0.62 Bohr magnetons per cell
Space-group type = Immm
Uncorrected energy = -16.95 eV/cell
Calculated density = 2.7 g/cm3

a b c (Å): 10.6191 10.6191 10.6191
angles (deg): 161.41 160.71 26.91
Last column: nearest neighbours and their distance in Å.
Fractional coordinates of all 4 atoms:
K 0.1490 0.1490 0.0000  4 K 3.43-3.56, 2 Si 3.52, 2 Mo 3.56
K 0.8510 0.8510 0.0000  4 K 3.43-3.56, 2 Si 3.52, 2 Mo 3.56
Si 0.0000 0.5000 0.5000  4 Mo 2.47
Mo 0.5000 0.0000 0.5000  4 Si 2.47


# 5
K2SiMo: relaxed, GGA-PBE.

## Properties
ΔE_f (raw) = 388 meV/atom
Magnetic moment = 0.68 Bohr magnetons per cell
Space-group type = P4mm
Uncorrected energy = -16.90 eV/cell
Calculated density = 2.7 g/cm3

a b c (Å): 3.4810 3.4810 10.3891
angles (deg): 90.00 90.00 90.00
Last column: nearest neighbours and their distance in Å.
Fractional coordinates of all 4 atoms:
K 0.0000 0.0000 0.0000  1 Mo 3.26, 4 K 3.48
K 0.5000 0.5000 0.4011  1 Si 3.21, 4 K 3.48
Si 0.5000 0.5000 0.7097  4 Mo 2.47
Mo 0.0000 0.0000 0.6858  4 Si 2.47


# 6
K2SiMo: relaxed, GGA-PBE.

## Properties
ΔE_f (raw) = 1197 meV/atom
Magnetic moment = 3.10 Bohr magnetons per cell
Space-group type = P4/mmm
Uncorrected energy = -13.66 eV/cell
Calculated density = 2.8 g/cm3

a b c (Å): 4.7103 4.7103 5.4165
angles (deg): 90.00 90.00 90.00
Last column: nearest neighbours and their distance in Å.
Fractional coordinates of all 4 atoms:
K 0.0000 0.0000 0.2472  2 K 2.68-2.74
K 0.0000 0.0000 0.7528  2 K 2.68-2.74
Si 0.5000 0.5000 0.0000  2 Mo 2.71
Mo 0.5000 0.5000 0.5000  2 Si 2.71


Let's list N(E_F) in order: 6.4, 2.7, 1.9, 3.0, 2.9, 3.0 states/eV/f.u..